[1]
{"formula": "Pm6Y2ErTm", "functional": "GGA-PBE", "state": "optimized geometry", "lattice": [[4.635, -7.631, 0.000], [4.635, 7.631, 0.000], [-1.116, 0.000, 9.485]], "species": ["Pm", "Pm", "Pm", "Pm", "Pm", "Pm", "Pm", "Pm", "Pm", "Pm", "Pm", "Pm", "Y", "Y", "Y", "Y", "Er", "Er", "Tm", "Tm"], "frac_coords": [[0.010, 0.565, 0.188], [0.119, 0.763, 0.556], [0.237, 0.881, 0.944], [0.292, 0.513, 0.383], [0.435, 0.990, 0.312], [0.487, 0.708, 0.117], [0.513, 0.292, 0.883], [0.565, 0.010, 0.688], [0.708, 0.487, 0.617], [0.763, 0.119, 0.056], [0.881, 0.237, 0.444], [0.990, 0.435, 0.812], [0.202, 0.299, 0.047], [0.299, 0.202, 0.547], [0.701, 0.798, 0.453], [0.798, 0.701, 0.953], [0.029, 0.971, 0.250], [0.971, 0.029, 0.750], [0.411, 0.589, 0.750], [0.589, 0.411, 0.250]], "ef_ev_per_atom": 0.120, "dos_at_fermi_per_ev_atom": 1.42, "vol_a3_per_atom": 33.55, "dft_energy_ev_per_atom": -4.927}


[2]
{"formula": "GaBiH", "functional": "GGA-PBE", "state": "optimized geometry", "lattice": [[3.660, 0.000, 0.000], [-0.005, 5.016, 0.000], [-1.768, -2.420, 8.016]], "species": ["Ga", "Ga", "Bi", "Bi", "H", "H"], "frac_coords": [[0.225, 0.225, 0.449], [0.775, 0.775, 0.551], [0.137, 0.636, 0.266], [0.863, 0.364, 0.734], [0.486, 0.011, 0.957], [0.514, 0.989, 0.043]], "dos_at_fermi_per_ev_atom": 0.09, "vol_a3_per_atom": 24.53, "dft_energy_ev_per_atom": -3.358}


[3]
{"formula": "Sr6PSe3Cl2", "functional": "GGA-PBE", "state": "optimized geometry", "lattice": [[3.822, -6.610, 0.000], [3.822, 6.610, 0.000], [-2.528, 0.000, 7.170]], "species": ["Sr", "Sr", "Sr", "Sr", "Sr", "Sr", "P", "Se", "Se", "Se", "Cl", "Cl"], "frac_coords": [[0.084, 0.401, 0.751], [0.231, 0.231, 0.246], [0.401, 0.084, 0.751], [0.599, 0.916, 0.249], [0.769, 0.769, 0.754], [0.916, 0.599, 0.249], [0.000, 0.000, 0.500], [0.173, 0.827, 0.000], [0.500, 0.500, 0.000], [0.827, 0.173, 0.000], [0.335, 0.665, 0.500], [0.665, 0.335, 0.500]], "dos_at_fermi_per_ev_atom": 0.29, "vol_a3_per_atom": 30.19, "dft_energy_ev_per_atom": -4.349}


[4]
{"formula": "PmNdY2Sc", "functional": "GGA-PBE", "state": "optimized geometry", "lattice": [[7.900, 0.000, 0.000], [0.000, 5.038, 0.000], [-0.029, 0.000, 7.943]], "species": ["Pm", "Pm", "Nd", "Nd", "Y", "Y", "Y", "Y", "Sc", "Sc"], "frac_coords": [[0.054, 0.250, 0.348], [0.946, 0.750, 0.652], [0.256, 0.250, 0.759], [0.744, 0.750, 0.241], [0.161, 0.750, 0.051], [0.353, 0.750, 0.453], [0.647, 0.250, 0.547], [0.839, 0.250, 0.949], [0.452, 0.250, 0.148], [0.548, 0.750, 0.852]], "ef_ev_per_atom": 0.046, "dos_at_fermi_per_ev_atom": 1.66, "vol_a3_per_atom": 31.61, "dft_energy_ev_per_atom": -5.710}


[5]
{"formula": "TiCr4Mo", "functional": "GGA-PBE", "state": "optimized geometry", "lattice": [[0.000, 3.415, 3.415], [3.415, 0.000, 3.415], [3.415, 3.415, 0.000]], "species": ["Ti", "Cr", "Cr", "Cr", "Cr", "Mo"], "frac_coords": [[0.000, 0.000, 0.000], [0.126, 0.625, 0.625], [0.625, 0.126, 0.625], [0.625, 0.625, 0.126], [0.625, 0.625, 0.625], [0.250, 0.250, 0.250]], "ef_ev_per_atom": -0.049, "dos_at_fermi_per_ev_atom": 0.86, "vol_a3_per_atom": 13.27, "dft_energy_ev_per_atom": -9.586}


[6]
{"formula": "Tb4TcGe8", "functional": "GGA-PBE", "state": "optimized geometry", "lattice": [[4.033, 0.000, 0.000], [0.000, 4.219, 0.000], [0.000, 0.000, 16.143]], "species": ["Tb", "Tb", "Tb", "Tb", "Tc", "Ge", "Ge", "Ge", "Ge", "Ge", "Ge", "Ge", "Ge"], "frac_coords": [[0.000, 0.000, 0.000], [0.000, 0.500, 0.483], [0.500, 0.000, 0.795], [0.500, 0.500, 0.284], [0.000, 0.500, 0.700], [0.000, 0.000, 0.330], [0.000, 0.000, 0.620], [0.000, 0.500, 0.139], [0.000, 0.500, 0.854], [0.500, 0.000, 0.145], [0.500, 0.000, 0.438], [0.500, 0.500, 0.616], [0.500, 0.500, 0.957]], "ef_ev_per_atom": -0.554, "dos_at_fermi_per_ev_atom": 0.49, "vol_a3_per_atom": 21.13, "dft_energy_ev_per_atom": -5.617}


[7]
{"formula": "InAsW2", "functional": "GGA-PBE", "state": "optimized geometry", "lattice": [[3.133, 0.000, 0.000], [0.000, 5.064, 0.000], [0.000, 0.000, 8.869]], "species": ["In", "In", "As", "As", "W", "W", "W", "W"], "frac_coords": [[0.000, 0.000, 0.000], [0.500, 0.500, 0.000], [0.000, 0.000, 0.500], [0.500, 0.500, 0.500], [0.000, 0.500, 0.274], [0.000, 0.500, 0.726], [0.500, 0.000, 0.274], [0.500, 0.000, 0.726]], "ef_ev_per_atom": 0.644, "dos_at_fermi_per_ev_atom": 0.87, "vol_a3_per_atom": 17.59, "dft_energy_ev_per_atom": -7.679}


[8]
{"formula": "Sr3Pd5F12", "functional": "GGA-PBE", "state": "optimized geometry", "lattice": [[-6.969, 6.969, 6.969], [6.969, -6.969, 6.969], [6.969, 6.969, -6.969]], "species": ["Sr", "Sr", "Sr", "Sr", "Sr", "Sr", "Sr", "Sr", "Sr", "Sr", "Sr", "Sr", "Pd", "Pd", "Pd", "Pd", "Pd", "Pd", "Pd", "Pd", "Pd", "Pd", "Pd", "Pd", "Pd", "Pd", "Pd", "Pd", "Pd", "Pd", "Pd", "Pd", "F", "F", "F", "F", "F", "F", "F", "F", "F", "F", "F", "F", "F", "F", "F", "F", "F", "F", "F", "F", "F", "F", "F", "F", "F", "F", "F", "F", "F", "F", "F", "F", "F", "F", "F", "F", "F", "F", "F", "F", "F", "F", "F", "F", "F", "F", "F", "F"], "frac_coords": [[0.125, 0.250, 0.375], [0.125, 0.375, 0.750], [0.250, 0.375, 0.125], [0.250, 0.875, 0.625], [0.375, 0.125, 0.250], [0.375, 0.750, 0.125], [0.625, 0.250, 0.875], [0.625, 0.875, 0.750], [0.750, 0.125, 0.375], [0.750, 0.625, 0.875], [0.875, 0.625, 0.250], [0.875, 0.750, 0.625], [0.000, 0.000, 0.000], [0.000, 0.000, 0.500], [0.000, 0.500, 0.000], [0.000, 0.500, 0.500], [0.125, 0.750, 0.875], [0.125, 0.875, 0.250], [0.250, 0.125, 0.875], [0.250, 0.625, 0.375], [0.375, 0.250, 0.625], [0.375, 0.625, 0.750], [0.500, 0.000, 0.000], [0.500, 0.000, 0.500], [0.500, 0.500, 0.000], [0.500, 0.500, 0.500], [0.625, 0.375, 0.250], [0.625, 0.750, 0.375], [0.750, 0.375, 0.625], [0.750, 0.875, 0.125], [0.875, 0.125, 0.750], [0.875, 0.250, 0.125], [0.052, 0.216, 0.136], [0.052, 0.336, 0.916], [0.080, 0.716, 0.664], [0.080, 0.864, 0.416], [0.084, 0.636, 0.420], [0.084, 0.948, 0.664], [0.136, 0.052, 0.216], [0.136, 0.584, 0.920], [0.164, 0.216, 0.580], [0.164, 0.448, 0.584], [0.216, 0.136, 0.052], [0.216, 0.580, 0.164], [0.284, 0.336, 0.920], [0.284, 0.448, 0.364], [0.336, 0.916, 0.052], [0.336, 0.920, 0.284], [0.364, 0.284, 0.448], [0.364, 0.580, 0.916], [0.416, 0.080, 0.864], [0.416, 0.836, 0.552], [0.420, 0.084, 0.636], [0.420, 0.836, 0.784], [0.448, 0.364, 0.284], [0.448, 0.584, 0.164], [0.552, 0.416, 0.836], [0.552, 0.636, 0.716], [0.580, 0.164, 0.216], [0.580, 0.916, 0.364], [0.584, 0.164, 0.448], [0.584, 0.920, 0.136], [0.636, 0.420, 0.084], [0.636, 0.716, 0.552], [0.664, 0.080, 0.716], [0.664, 0.084, 0.948], [0.716, 0.552, 0.636], [0.716, 0.664, 0.080], [0.784, 0.420, 0.836], [0.784, 0.864, 0.948], [0.836, 0.552, 0.416], [0.836, 0.784, 0.420], [0.864, 0.416, 0.080], [0.864, 0.948, 0.784], [0.916, 0.052, 0.336], [0.916, 0.364, 0.580], [0.920, 0.136, 0.584], [0.920, 0.284, 0.336], [0.948, 0.664, 0.084], [0.948, 0.784, 0.864]], "dos_at_fermi_per_ev_atom": 1.04, "vol_a3_per_atom": 16.93, "dft_energy_ev_per_atom": -4.642}


[9]
{"formula": "ReAu3", "functional": "GGA-PBE", "state": "optimized geometry", "lattice": [[4.824, 0.000, 0.000], [0.000, 9.624, 0.000], [0.000, 0.000, 5.915]], "species": ["Re", "Re", "Re", "Re", "Au", "Au", "Au", "Au", "Au", "Au", "Au", "Au", "Au", "Au", "Au", "Au"], "frac_coords": [[0.075, 0.250, 0.147], [0.425, 0.750, 0.647], [0.575, 0.250, 0.353], [0.925, 0.750, 0.853], [0.067, 0.250, 0.631], [0.241, 0.504, 0.878], [0.241, 0.996, 0.878], [0.259, 0.004, 0.378], [0.259, 0.496, 0.378], [0.433, 0.750, 0.131], [0.567, 0.250, 0.869], [0.741, 0.504, 0.622], [0.741, 0.996, 0.622], [0.759, 0.004, 0.122], [0.759, 0.496, 0.122], [0.933, 0.750, 0.369]], "ef_ev_per_atom": 0.413, "dos_at_fermi_per_ev_atom": 0.72, "vol_a3_per_atom": 17.16, "dft_energy_ev_per_atom": -5.157}


[10]
{"formula": "La4Pm5Nd2", "functional": "GGA-PBE", "state": "optimized geometry", "lattice": [[9.078, -1.805, 0.000], [9.078, 1.805, 0.000], [-0.954, 0.000, 11.957]], "species": ["La", "La", "La", "La", "Pm", "Pm", "Pm", "Pm", "Pm", "Nd", "Nd"], "frac_coords": [[0.037, 0.037, 0.263], [0.359, 0.359, 0.202], [0.641, 0.641, 0.798], [0.963, 0.963, 0.737], [0.096, 0.096, 0.541], [0.178, 0.178, 0.072], [0.500, 0.500, 0.000], [0.822, 0.822, 0.928], [0.904, 0.904, 0.459], [0.284, 0.284, 0.642], [0.716, 0.716, 0.358]], "ef_ev_per_atom": 0.069, "dos_at_fermi_per_ev_atom": 1.57, "vol_a3_per_atom": 35.62, "dft_energy_ev_per_atom": -4.749}


[11]
{"formula": "ScNi2Mo", "functional": "GGA-PBE", "state": "optimized geometry", "lattice": [[3.722, 0.000, 0.000], [0.000, 3.722, 0.000], [0.000, 0.000, 8.303]], "species": ["Sc", "Sc", "Ni", "Ni", "Ni", "Ni", "Mo", "Mo"], "frac_coords": [[0.000, 0.000, 0.000], [0.500, 0.500, 0.500], [0.000, 0.000, 0.500], [0.000, 0.500, 0.250], [0.500, 0.000, 0.750], [0.500, 0.500, 0.000], [0.000, 0.500, 0.750], [0.500, 0.000, 0.250]], "ef_ev_per_atom": 0.032, "dos_at_fermi_per_ev_atom": 1.56, "vol_a3_per_atom": 14.38, "dft_energy_ev_per_atom": -7.150}


[12]
{"formula": "LaSmTmSe3", "functional": "GGA-PBE", "state": "optimized geometry", "lattice": [[7.244, 0.000, 0.000], [0.000, 4.080, 0.000], [-2.429, 0.000, 10.531]], "species": ["La", "La", "Sm", "Sm", "Tm", "Tm", "Se", "Se", "Se", "Se", "Se", "Se"], "frac_coords": [[0.160, 0.250, 0.194], [0.840, 0.750, 0.806], [0.263, 0.750, 0.557], [0.737, 0.250, 0.443], [0.379, 0.250, 0.869], [0.621, 0.750, 0.131], [0.051, 0.250, 0.670], [0.231, 0.750, 0.997], [0.448, 0.750, 0.340], [0.552, 0.250, 0.660], [0.769, 0.250, 0.003], [0.949, 0.750, 0.330]], "dos_at_fermi_per_ev_atom": 0.63, "vol_a3_per_atom": 25.93, "dft_energy_ev_per_atom": -5.891}